a) Be2TlSb, relaxed, DFT GGA-PBE; N(E_F) = 2.38 states/eV/f.u.; space-group type = Fm-3m (225); volume = 19.17 A^3/atom
1.0
0.000 3.372 3.372
3.372 0.000 3.372
3.372 3.372 0.000
Be Tl Sb
2 1 1
Cartesian
1.686 1.686 1.686
5.058 5.058 5.058
0.000 0.000 0.000
3.372 3.372 3.372

b) Be2TlSb, relaxed, DFT GGA-PBE; N(E_F) = 1.63 states/eV/f.u.; space-group type = Pmmm (47); volume = 20.09 A^3/atom
1.0
3.440 0.000 0.000
0.000 3.530 0.000
0.000 0.000 6.615
Be Tl Sb
2 1 1
Cartesian
0.000 0.000 1.103
0.000 0.000 5.513
1.720 1.765 3.308
1.720 1.765 0.000

On energetic grounds, b) is preferred over the next structure by 121 meV/atom.